# 1
VASP calculation (PBE) on crystalline TiBeSbI2 at its relaxed geometry.

Properties
Energy above the most stable polymorph in this dataset (eV/atom): 0.0000

abc: 5.437 5.437 5.508
angles: 90.00 90.00 90.00
Atoms (fractional coordinates):
Ti (0.000, 0.000, 0.000)
Be (0.500, 0.500, 0.500)
Sb (0.000, 0.000, 0.500)
I (0.000, 0.500, 0.000)
I (0.500, 0.000, 0.000)



# 2
VASP calculation (PBE) on crystalline BeTlSbI2 at its relaxed geometry.

Properties
Energy above the most stable polymorph in this dataset (eV/atom): 0.8268

abc: 6.162 6.162 5.930
angles: 90.00 90.00 90.00
Atoms (fractional coordinates):
Be (0.000, 0.000, 0.000)
Tl (0.500, 0.500, 0.500)
Sb (0.500, 0.500, 0.000)
I (0.000, 0.500, 0.500)
I (0.500, 0.000, 0.500)



# 3
VASP calculation (PBE) on crystalline BeTlSbI2 at its relaxed geometry.

Properties
Energy above the most stable polymorph in this dataset (eV/atom): 0.0000

abc: 5.740 5.740 4.790
angles: 90.00 90.00 90.00
Atoms (fractional coordinates):
Be (0.000, 0.000, 0.000)
Tl (0.500, 0.500, 0.500)
Sb (0.000, 0.000, 0.500)
I (0.000, 0.500, 0.000)
I (0.500, 0.000, 0.000)



# 4
VASP calculation (PBE) on crystalline BeTl2SbI at its relaxed geometry.

abc: 6.449 6.449 5.936
angles: 90.00 90.00 90.00
Atoms (fractional coordinates):
Be (0.000, 0.000, 0.000)
Tl (0.000, 0.500, 0.500)
Tl (0.500, 0.000, 0.500)
Sb (0.500, 0.500, 0.000)
I (0.500, 0.500, 0.500)



# 5
VASP calculation (PBE) on crystalline BeVSbI2 at its relaxed geometry.

Properties
Energy above the most stable polymorph in this dataset (eV/atom): 0.0000

abc: 5.390 5.390 5.233
angles: 90.00 90.00 90.00
Atoms (fractional coordinates):
Be (0.000, 0.000, 0.000)
V (0.500, 0.500, 0.500)
Sb (0.500, 0.500, 0.000)
I (0.000, 0.500, 0.500)
I (0.500, 0.000, 0.500)



# 6
VASP calculation (PBE) on crystalline BeVSbI2 at its relaxed geometry.

Properties
Energy above the most stable polymorph in this dataset (eV/atom): 0.1797

abc: 5.130 5.130 4.984
angles: 90.00 90.00 90.00
Atoms (fractional coordinates):
Be (0.000, 0.000, 0.000)
V (0.500, 0.500, 0.500)
Sb (0.000, 0.000, 0.500)
I (0.000, 0.500, 0.000)
I (0.500, 0.000, 0.000)



# 7
VASP calculation (PBE) on crystalline BeSbWI2 at its relaxed geometry.

Properties
Energy above the most stable polymorph in this dataset (eV/atom): 0.1864

abc: 5.050 5.050 5.052
angles: 90.00 90.00 90.00
Atoms (fractional coordinates):
Be (0.000, 0.000, 0.000)
Sb (0.000, 0.000, 0.500)
W (0.500, 0.500, 0.500)
I (0.000, 0.500, 0.000)
I (0.500, 0.000, 0.000)



# 8
VASP calculation (PBE) on crystalline BeSb2WI at its relaxed geometry.

Properties
Energy above the most stable polymorph in this dataset (eV/atom): 0.0000

abc: 5.186 5.186 5.868
angles: 90.00 90.00 90.00
Atoms (fractional coordinates):
Be (0.000, 0.000, 0.000)
Sb (0.000, 0.500, 0.500)
Sb (0.500, 0.000, 0.500)
W (0.500, 0.500, 0.500)
I (0.500, 0.500, 0.000)



Computed values of formation energy from raw total energies (unit: eV per atom) for the preceding records, in sequence: 0.535 0.909 0.082 1.008 0.817 0.997 1.383 1.154.